First-principles (PBE) data for LiMn2TlI8 after structural relaxation, as listed in Alexandria via LeMat-Bulk.

a = 7.3264 Å, b = 7.3264 Å, c = 10.1572 Å
α = 90.00°, β = 90.00°, γ = 120.00°
Last column: nearest neighbours and their distance in Å.
Atoms (fractional coordinates):
Li1 0.0000 0.0000 0.0000  6 I 2.98
Mn1 0.3333 0.6667 0.2491  4 I 2.58-2.60
Mn2 0.6667 0.3333 0.7509  4 I 2.58-2.60
Tl1 0.0000 0.0000 0.5000  12 I 4.02-4.23
I1 0.0032 0.6797 0.8209  1 Mn 2.60
I2 0.3203 0.3235 0.8209  1 Mn 2.60
I3 0.3235 0.0032 0.1791  1 Mn 2.60
I4 0.3333 0.6667 0.5032  1 Mn 2.58
I5 0.6667 0.3333 0.4968  1 Mn 2.58
I6 0.6765 0.9968 0.8209  1 Mn 2.60
I7 0.6797 0.6765 0.1791  1 Mn 2.60
I8 0.9968 0.3203 0.1791  1 Mn 2.60

Uncorrected energy   -40.45 eV per cell
Uncorrected formation energy   -524 kJ/mol of formula units
Calculated volume   39.35 Å³ per atom
Theoretical density   4.70 g/cm³


First-principles (PBE) data for Cs4Rb2Pt after structural relaxation, as listed in Alexandria via LeMat-Bulk.

a = 13.8534 Å, b = 13.8534 Å, c = 13.8534 Å
α = 151.51°, β = 151.51°, γ = 40.72°
Last column: nearest neighbours and their distance in Å.
Atoms (fractional coordinates):
Cs1 0.0000 0.5000 0.5000  2 Pt 3.41
Cs2 0.1267 0.1267 0.0000  1 Pt 3.29
Cs3 0.5000 0.0000 0.5000  2 Pt 3.41
Cs4 0.8733 0.8733 0.0000  1 Pt 3.29
Rb1 0.3105 0.3105 0.0000  5 Cs 4.77-5.09
Rb2 0.6895 0.6895 0.0000  5 Cs 4.77-5.09
Pt1 0.0000 0.0000 0.0000  6 Cs 3.29-3.41

Uncorrected energy   -11.34 eV per cell
Energy above the most stable polymorph in this dataset   0 meV/atom
Calculated volume   86.22 Å³ per atom
Energy of formation   4 kJ/mol of formula units
Theoretical density   2.47 g/cm³


First-principles (PBE) data for Mg2Pd6Au after structural relaxation, as listed in Alexandria via LeMat-Bulk.

a = 6.1326 Å, b = 6.1326 Å, c = 6.1326 Å
α = 135.44°, β = 103.10°, γ = 93.49°
Last column: nearest neighbours and their distance in Å.
Atoms (fractional coordinates):
Mg1 0.1771 0.1771 0.0000  1 Au 2.71, 8 Pd 2.72-2.74, 1 Mg 2.98
Mg2 0.8229 0.8229 0.0000  1 Au 2.71, 8 Pd 2.72-2.74, 1 Mg 2.98
Pd1 0.0193 0.3342 0.6850  3 Mg 2.72-2.74, 1 Au 2.78, 7 Pd 2.79-2.90
Pd2 0.3010 0.0000 0.3010  2 Mg 2.74, 2 Au 2.78, 7 Pd 2.81-3.04
Pd3 0.3508 0.6658 0.6850  3 Mg 2.72-2.74, 1 Au 2.78, 7 Pd 2.79-2.90
Pd4 0.6492 0.3342 0.3150  3 Mg 2.72-2.74, 1 Au 2.78, 7 Pd 2.79-2.90
Pd5 0.6990 0.0000 0.6990  2 Mg 2.74, 2 Au 2.78, 7 Pd 2.81-3.04
Pd6 0.9807 0.6658 0.3150  3 Mg 2.72-2.74, 1 Au 2.78, 7 Pd 2.79-2.90
Au1 0.5000 0.5000 0.0000  2 Mg 2.71, 8 Pd 2.78

Uncorrected energy   -40.52 eV per cell
Energy above the most stable polymorph in this dataset   136 meV/atom
Calculated volume   16.56 Å³ per atom
Energy of formation   -280 kJ/mol of formula units
Theoretical density   9.85 g/cm³


Question: Which of these has the highest calculated volume?
Answer: Cs4Rb2Pt